Record 1
Material: CsGdLuTe3
Method: DFT, PBE-GGA
State: optimized geometry

The structure in extended XYZ format:
```
12
Lattice="-1.9628 8.6130 2.2941 0.1578 -8.8882 2.0675 10.7049 1.2387 4.5083" Properties=species:S:1:pos:R:3 pbc="T T T"
Gd 8.1198 -7.4086 5.4558
Gd 0.7801 8.3722 3.4141
Lu 4.4500 0.4818 4.4349
Lu -0.9025 -0.1376 2.1808
Cs 2.3122 -4.2718 3.2503
Cs 6.5877 5.2354 5.6195
Te 5.6222 -6.1903 4.4991
Te -1.3573 6.6175 2.4188
Te 3.2778 7.1538 4.3708
Te 10.2572 -5.6539 6.4511
Te 1.6289 1.3677 3.3234
Te 7.2711 -0.4041 5.5465
```

***

Record 2
Material: CsGdLuTe3
Method: DFT, PBE-GGA
State: optimized geometry

The structure in extended XYZ format:
```
12
Lattice="2.3319 -8.7437 0.0000 2.3319 8.7437 0.0000 0.0000 0.0000 11.9411" Properties=species:S:1:pos:R:3 pbc="T T T"
Te 2.3320 -2.1351 11.3853
Te 2.3320 -2.1351 6.5263
Te 2.3320 7.6387 2.9853
Te 2.3320 -7.6387 8.9558
Te 2.3320 2.1351 5.4147
Te 2.3320 2.1351 0.5558
Gd 0.0000 0.0000 0.0000
Gd 0.0000 0.0000 5.9705
Cs 2.3320 -4.2666 2.9853
Cs 2.3320 4.2666 8.9558
Lu 2.3320 0.6235 2.9853
Lu 2.3320 -0.6235 8.9558
```

***

Number 1: calculated volume 243 Å³/f.u., E -53.079 eV per cell, energy above the lowest structure with this stoichiometry 55 meV per atom. Number 2: calculated volume 243 Å³/f.u., E -53.743 eV per cell, energy above the lowest structure with this stoichiometry 0 meV per atom.